Compound: Ba2SiIr
Source: Alexandria
Functional: SCAN
Structure: single point on PBEsol structure

It has space group Cm (No. 8), with a = 7.2812 Å, b = 4.2027 Å, c = 9.1820 Å, α = 90.00°, β = 104.91° and γ = 90.00°. Symmetry generates all atoms from Ba at (0.0000, 0.0000, 0.0000), Ba at (0.1627, 0.0000, 0.5032), Si at (0.2481, 0.5000, 0.2517) and Ir at (0.4147, 0.0000, 0.2515).

The volume comes out at 272 Å³/cell. The crystal system is monoclinic. Its spin magnetization is 0.0 μB/f.u. The raw formation energy is -0.53 eV per atom. The value obtained for the total energy is -1.4914 Ha/atom.